Below is KSrBr2O6 after structural relaxation, with properties calculated at the PBE-GGA level.

a = 8.615 Å, b = 11.347 Å, c = 7.703 Å
α = 90.00°, β = 103.94°, γ = 90.00°
Space group C2/c (No. 15)
Asymmetric unit:
K1 0.000 0.203 0.250 (multiplicity 4)
Sr1 0.000 0.427 0.750 (multiplicity 4)
Br1 0.179 0.108 0.816 (multiplicity 8)
O1 0.105 0.393 0.087 (multiplicity 8)
O2 0.168 0.234 0.693 (multiplicity 8)
O3 0.184 0.011 0.181 (multiplicity 8)

## Properties
Calculated volume (Å³/cell): 730.8
DFT total energy (eV per atom): -4.346
N(E_F) (states/eV/atom): 0.15

=====

Below is Na2GaAu4 after structural relaxation, with properties calculated at the PBE-GGA level.

a = 4.935 Å, b = 4.935 Å, c = 15.212 Å
α = 90.00°, β = 90.00°, γ = 90.00°
Space group I4/mmm (No. 139)
Asymmetric unit:
Na1 0.000 0.000 0.138 (multiplicity 4)
Ga1 0.000 0.000 0.500 (multiplicity 2)
Au1 0.000 0.000 0.331 (multiplicity 4)
Au2 0.000 0.500 0.000 (multiplicity 4)

## Properties
Calculated volume (Å³/cell): 370.5
Formation energy (eV per formula unit): -0.2
N(E_F) (states/eV/atom): 0.24

=====

Below is Th4TcGeTe2 after structural relaxation, with properties calculated at the PBE-GGA level.

a = 7.566 Å, b = 4.244 Å, c = 7.860 Å
α = 90.00°, β = 107.51°, γ = 90.00°
Space group P2/m (No. 10)
Asymmetric unit:
Th1 0.221 0.000 0.204 (multiplicity 2)
Th2 0.246 0.500 0.791 (multiplicity 2)
Tc1 0.000 0.500 0.000 (multiplicity 1)
Ge1 0.500 0.000 0.000 (multiplicity 1)
Te1 0.000 0.000 0.500 (multiplicity 1)
Te2 0.500 0.500 0.500 (multiplicity 1)

## Properties
Calculated volume (Å³/cell): 240.7
DFT total energy (eV per atom): -7.171
N(E_F) (states/eV/atom): 0.85

=====

Below is La5Tl4Ge after structural relaxation, with properties calculated at the PBE-GGA level.

a = 3.981 Å, b = 3.981 Å, c = 19.249 Å
α = 90.00°, β = 90.00°, γ = 90.00°
Space group P4/mmm (No. 123)
Asymmetric unit:
La1 0.000 0.000 0.000 (multiplicity 1)
La2 0.000 0.000 0.208 (multiplicity 2)
La3 0.000 0.000 0.420 (multiplicity 2)
Tl1 0.500 0.500 0.104 (multiplicity 2)
Tl2 0.500 0.500 0.311 (multiplicity 2)
Ge1 0.500 0.500 0.500 (multiplicity 1)

## Properties
Calculated volume (Å³/cell): 305.1
Formation energy (eV per formula unit): -4.9
N(E_F) (states/eV/atom): 0.86

=====

Below is Mg2ZnIn after structural relaxation, with properties calculated at the PBE-GGA level.

a = 6.208 Å, b = 8.605 Å, c = 3.122 Å
α = 90.00°, β = 90.00°, γ = 90.00°
Space group Cmmm (No. 65)
Asymmetric unit:
Mg1 0.250 0.250 0.000 (multiplicity 4)
Zn1 0.000 0.000 0.500 (multiplicity 2)
In1 0.000 0.500 0.500 (multiplicity 2)

## Properties
Calculated volume (Å³/cell): 166.8
Formation energy (eV per formula unit): -0.1
N(E_F) (states/eV/atom): 0.43

=====

Below is HgPd2Cl2 after structural relaxation, with properties calculated at the PBE-GGA level.

a = 7.164 Å, b = 7.164 Å, c = 3.846 Å
α = 90.00°, β = 90.00°, γ = 90.00°
Space group P4/mbm (No. 127)
Asymmetric unit:
Hg1 0.000 0.000 0.000 (multiplicity 2)
Pd1 0.140 0.360 0.000 (multiplicity 4)
Cl1 0.171 0.671 0.500 (multiplicity 4)

## Properties
Calculated volume (Å³/cell): 197.4
DFT total energy (eV per atom): -2.815
N(E_F) (states/eV/atom): 0.91